An optimized crystal structure of LaNdTl. Source: Alexandria via LeMat-Bulk, functional PBE. Values from VASP.

Geometry as Quantum ESPRESSO input:
```
&SYSTEM
  ibrav = 0, nat = 6, ntyp = 3
/
ATOMIC_SPECIES
La 138.91 La.upf
Nd 144.24 Nd.upf
Tl 204.38 Tl.upf
ATOMIC_POSITIONS crystal
La 0.000 0.000 0.000
La 0.000 0.000 0.500
Nd 0.333 0.667 0.250
Nd 0.667 0.333 0.750
Tl 0.333 0.667 0.750
Tl 0.667 0.333 0.250
CELL_PARAMETERS angstrom
5.618 0.000 0.000
-2.809 4.866 0.000
0.000 0.000 6.997
```

Results
ΔH_f (0 K)   -0.282 eV/atom
DOS(E_F)   1.46 states/eV per atom
E_tot   -4.303 eV/atom
Energy above the most stable polymorph in this dataset   0.000 eV per atom
Spin magnetization   0.172 μB per atom